# 1
Material: Ga2TcPd
Method: DFT, PBE
State: relaxed

## Properties
M_tot ... 0.82 μB/f.u.
E_form ... 0.076 eV per atom
Crystal system ... tetragonal
Theoretical density ... 8.7 Mg/m³

a = 6.763 Å, b = 6.763 Å, c = 5.737 Å
α = 90.00°, β = 90.00°, γ = 90.00°
Space group I-42d (No. 122)
One atom of each set of equivalent atoms:
Ga (0.244, 0.250, 0.125) (multiplicity 8)
Tc (0.000, 0.000, 0.500) (multiplicity 4)
Pd (0.000, 0.000, 0.000) (multiplicity 4)

# 2
Material: Ga3TcPd
Method: DFT, PBE
State: relaxed

## Properties
M_tot ... 0.00 μB/f.u.
E_form ... 0.331 eV per atom
Crystal system ... cubic
Theoretical density ... 6.4 Mg/m³

a = 4.749 Å, b = 4.749 Å, c = 4.749 Å
α = 90.00°, β = 90.00°, γ = 90.00°
Space group Pm-3m (No. 221)
One atom of each set of equivalent atoms:
Ga (0.000, 0.000, 0.500) (multiplicity 3)
Tc (0.000, 0.000, 0.000) (multiplicity 1)
Pd (0.500, 0.500, 0.500) (multiplicity 1)

Question: Which of these has the highest E_form?
Answer: Ga3TcPd

Question: Look up the theoretical density of the second one.
Answer: 6.4 Mg/m³

Question: Among the records above, which one has the lowest E_form?
Answer: Ga2TcPd

Repeat the second record exactly.
Material: Ga3TcPd
Method: DFT, PBE
State: relaxed

## Properties
M_tot ... 0.00 μB/f.u.
E_form ... 0.331 eV per atom
Crystal system ... cubic
Theoretical density ... 6.4 Mg/m³

a = 4.749 Å, b = 4.749 Å, c = 4.749 Å
α = 90.00°, β = 90.00°, γ = 90.00°
Space group Pm-3m (No. 221)
One atom of each set of equivalent atoms:
Ga (0.000, 0.000, 0.500) (multiplicity 3)
Tc (0.000, 0.000, 0.000) (multiplicity 1)
Pd (0.500, 0.500, 0.500) (multiplicity 1)